Entry 1:
This record from the Alexandria database describes a geometry-optimized KBe structure. The functional is GGA-PBE.

Cell lengths 6.367, 6.367, 6.367 Å; angles 90.00, 90.00, 90.00 degrees
Element x y z (fractional)
K  0.089  0.089  0.089
K  0.411  0.911  0.589
K  0.589  0.411  0.911
K  0.911  0.589  0.411
Be  0.102  0.602  0.898
Be  0.398  0.398  0.398
Be  0.602  0.898  0.102
Be  0.898  0.102  0.602

Calculated values
Energy in eV per atom: -1.184
Volume in Å³/atom: 32.257
ΔE_f in meV/atom: 1227.4
Polymorph energy (0 for the lowest one) in eV per atom: 0.6432

=====

Entry 2:
This record from the Alexandria database describes a geometry-optimized KBe structure. The functional is GGA-PBE.

Cell lengths 9.065, 8.303, 5.761 Å; angles 77.96, 63.62, 38.42 degrees
Element x y z (fractional)
K  0.045  0.705  0.045
K  0.295  0.955  0.295
K  0.705  0.045  0.705
K  0.955  0.295  0.955
Be  0.305  0.305  0.445
Be  0.445  0.445  0.305
Be  0.555  0.555  0.695
Be  0.695  0.695  0.555

Calculated values
Energy in eV per atom: -1.471
Volume in Å³/atom: 29.213
ΔE_f in meV/atom: 940.7
Polymorph energy (0 for the lowest one) in eV per atom: 0.3565

=====

Entry 3:
This record from the Alexandria database describes a geometry-optimized K3Be structure. The functional is GGA-PBE.

Cell lengths 7.436, 7.436, 7.436 Å; angles 116.39, 116.39, 116.39 degrees
Element x y z (fractional)
K  0.000  0.500  0.500
K  0.500  0.000  0.500
K  0.500  0.500  0.000
Be  0.000  0.000  0.000

Calculated values
Energy in eV per atom: -1.038
Volume in Å³/atom: 49.465
ΔE_f in meV/atom: 716.7
Polymorph energy (0 for the lowest one) in eV per atom: 0.1257

=====

Entry 4:
This record from the Alexandria database describes a geometry-optimized K3Be structure. The functional is GGA-PBE.

Cell lengths 11.969, 11.969, 11.969 Å; angles 22.84, 22.84, 22.84 degrees
Element x y z (fractional)
K  0.000  0.000  0.000
K  0.223  0.223  0.223
K  0.777  0.777  0.777
Be  0.500  0.500  0.500

Calculated values
Energy in eV per atom: -1.116
Volume in Å³/atom: 56.654
ΔE_f in meV/atom: 638.7
Polymorph energy (0 for the lowest one) in eV per atom: 0.0476

=====

Entry 5:
This record from the Alexandria database describes a geometry-optimized KBe5 structure. The functional is GGA-PBE.

Cell lengths 4.753, 4.753, 4.753 Å; angles 60.00, 60.00, 60.00 degrees
Element x y z (fractional)
K  0.000  0.000  0.000
Be  0.382  0.382  0.382
Be  0.382  0.382  0.854
Be  0.382  0.854  0.382
Be  0.750  0.750  0.750
Be  0.854  0.382  0.382

Calculated values
Energy in eV per atom: -2.446
Volume in Å³/atom: 12.652
ΔE_f in meV/atom: 842.0
Polymorph energy (0 for the lowest one) in eV per atom: 0.4140

=====

Entry 6:
This record from the Alexandria database describes a geometry-optimized K3Be structure. The functional is GGA-PBE.

Cell lengths 8.538, 8.538, 6.025 Å; angles 90.00, 90.00, 121.53 degrees
Element x y z (fractional)
K  0.184  0.358  0.750
K  0.189  0.811  0.750
K  0.358  0.184  0.250
K  0.642  0.816  0.750
K  0.811  0.189  0.250
K  0.816  0.642  0.250
Be  0.340  0.660  0.250
Be  0.660  0.340  0.750

Calculated values
Energy in eV per atom: -1.133
Volume in Å³/atom: 46.788
ΔE_f in meV/atom: 621.4
Polymorph energy (0 for the lowest one) in eV per atom: 0.0304

=====

Entry 7:
This record from the Alexandria database describes a geometry-optimized K3Be structure. The functional is GGA-PBE.

Cell lengths 9.023, 9.023, 9.023 Å; angles 153.35, 140.61, 48.19 degrees
Element x y z (fractional)
K  0.000  0.000  0.000
K  0.332  0.832  0.500
K  0.668  0.168  0.500
Be  0.500  0.500  0.000

Calculated values
Energy in eV per atom: -1.154
Volume in Å³/atom: 52.098
ΔE_f in meV/atom: 600.6
Polymorph energy (0 for the lowest one) in eV per atom: 0.0095

=====

Entry 8:
This record from the Alexandria database describes a geometry-optimized KBe5 structure. The functional is GGA-PBE.

Cell lengths 4.928, 4.928, 3.736 Å; angles 90.00, 90.00, 120.00 degrees
Element x y z (fractional)
K  0.000  0.000  0.000
Be  0.000  0.500  0.500
Be  0.333  0.667  0.000
Be  0.500  0.000  0.500
Be  0.500  0.500  0.500
Be  0.667  0.333  0.000

Calculated values
Energy in eV per atom: -2.637
Volume in Å³/atom: 13.094
ΔE_f in meV/atom: 650.6
Polymorph energy (0 for the lowest one) in eV per atom: 0.2226

=====

Entry 9:
This record from the Alexandria database describes a geometry-optimized K3Be structure. The functional is GGA-PBE.

Cell lengths 4.226, 4.226, 11.357 Å; angles 90.00, 90.00, 90.00 degrees
Element x y z (fractional)
K  0.000  0.000  0.000
K  0.500  0.500  0.330
K  0.500  0.500  0.670
Be  0.000  0.000  0.500

Calculated values
Energy in eV per atom: -1.164
Volume in Å³/atom: 50.706
ΔE_f in meV/atom: 591.1
Polymorph energy (0 for the lowest one) in eV per atom: 0.0000

=====

Entry 10:
This record from the Alexandria database describes a geometry-optimized KBe structure. The functional is GGA-PBE.

Cell lengths 4.825, 4.825, 4.825 Å; angles 60.00, 60.00, 60.00 degrees
Element x y z (fractional)
K  0.000  0.000  0.000
Be  0.500  0.500  0.500

Calculated values
Energy in eV per atom: -1.078
Volume in Å³/atom: 39.725
ΔE_f in meV/atom: 1333.8
Polymorph energy (0 for the lowest one) in eV per atom: 0.7496

=====

Entry 11:
This record from the Alexandria database describes a geometry-optimized KBe structure. The functional is GGA-PBE.

Cell lengths 2.865, 3.715, 9.979 Å; angles 90.00, 90.00, 90.00 degrees
Element x y z (fractional)
K  0.250  0.250  0.204
K  0.750  0.750  0.796
Be  0.250  0.750  0.491
Be  0.750  0.250  0.509

Calculated values
Energy in eV per atom: -1.661
Volume in Å³/atom: 26.559
ΔE_f in meV/atom: 750.9
Polymorph energy (0 for the lowest one) in eV per atom: 0.1667

=====

Entry 12:
This record from the Alexandria database describes a geometry-optimized KBe structure. The functional is GGA-PBE.

Cell lengths 5.207, 5.207, 5.207 Å; angles 66.83, 66.83, 66.83 degrees
Element x y z (fractional)
K  0.137  0.137  0.137
K  0.863  0.863  0.863
Be  0.410  0.410  0.410
Be  0.590  0.590  0.590

Calculated values
Energy in eV per atom: -1.405
Volume in Å³/atom: 28.611
ΔE_f in meV/atom: 1006.8
Polymorph energy (0 for the lowest one) in eV per atom: 0.4226